Record 1
Computed, not measured: an optimized crystal structure of USnS4 at the PBE level of DFT.

Results
- Total magnetic moment: 0.1 Bohr magnetons per cell
- Final energy: -6.153 eV/atom
- Formation energy (no corrections): -0.853 eV/atom

Unit cell a=8.0219 b=8.1000 c=8.0857 alpha=120.06 beta=119.74 gamma=90.00
Site moments in Bohr magnetons follow the coordinates.
Fractional positions:
U 0.0000 0.0000 0.5000  -0.10
U 0.5000 0.0000 0.5000  -0.10
S 0.2218 0.2164 0.9327  0.01
S 0.2533 0.7945 0.5066  0.01
S 0.7467 0.7878 0.4934  0.01
S 0.7109 0.2164 0.9327  0.01
S 0.7782 0.7836 0.0673  0.01
S 0.7467 0.2055 0.4934  0.01
S 0.2891 0.7836 0.0673  0.01
S 0.2533 0.2122 0.5066  0.01
Sn 0.5000 0.0000 0.0000  0.00
Sn 0.5000 0.5000 0.0000  0.00

=====

Record 2
Computed, not measured: an optimized crystal structure of USnS3 at the PBE level of DFT.

Results
- Total magnetic moment: 4.0 Bohr magnetons per cell
- Final energy: -6.391 eV/atom
- Formation energy (no corrections): -0.856 eV/atom

Unit cell a=7.0496 b=7.0601 c=7.0601 alpha=120.00 beta=90.00 gamma=90.00
Site moments in Bohr magnetons follow the coordinates.
Fractional positions:
Sn 0.0000 0.0000 0.0000  0.00
Sn 0.5000 0.0000 0.0000  0.00
U 0.5000 0.6667 0.3333  2.03
U 0.0000 0.6667 0.3333  2.03
S 0.7500 0.9367 0.6415  -0.06
S 0.2500 0.7048 0.6415  -0.06
S 0.2500 0.3585 0.0633  -0.06
S 0.7500 0.7048 0.0633  -0.06
S 0.2500 0.9367 0.2952  -0.06
S 0.7500 0.3585 0.2952  -0.06

=====

Record 3
Computed, not measured: an optimized crystal structure of USnS2 at the PBE level of DFT.

Results
- Total magnetic moment: 2.7 Bohr magnetons per cell
- Final energy: -6.752 eV/atom
- Formation energy (no corrections): -0.866 eV/atom

Unit cell a=3.8086 b=3.8086 c=9.1141 alpha=77.94 beta=77.94 gamma=60.00
Site moments in Bohr magnetons follow the coordinates.
Fractional positions:
U 0.5000 0.5000 0.5000  2.35
Sn 0.0000 0.0000 0.0000  0.04
S 0.1072 0.1072 0.6785  -0.07
S 0.8928 0.8928 0.3215  -0.07

=====

Record 4
Computed, not measured: an optimized crystal structure of USnS at the PBE level of DFT.

Results
- Total magnetic moment: 4.1 Bohr magnetons per cell
- Final energy: -6.968 eV/atom
- Formation energy (no corrections): -0.495 eV/atom

Unit cell a=4.3671 b=4.3671 c=7.7531 alpha=100.64 beta=100.64 gamma=90.04
Site moments in Bohr magnetons follow the coordinates.
Fractional positions:
S 0.0000 0.5000 0.0000  -0.11
S 0.5000 0.0000 0.0000  -0.11
Sn 0.6327 0.6327 0.3703  -0.02
Sn 0.3673 0.3673 0.6297  -0.02
U 0.9276 0.9276 0.7850  2.01
U 0.0724 0.0724 0.2150  2.01

=====

Record 5
Computed, not measured: an optimized crystal structure of USnS at the PBE level of DFT.

Results
- Total magnetic moment: 4.7 Bohr magnetons per cell
- Final energy: -7.294 eV/atom
- Formation energy (no corrections): -0.821 eV/atom

Unit cell a=3.9952 b=3.9952 c=8.9412 alpha=102.91 beta=102.91 gamma=90.00
Site moments in Bohr magnetons follow the coordinates.
Fractional positions:
U 0.6578 0.6578 0.3156  2.26
U 0.3422 0.3422 0.6844  2.26
Sn 0.5000 0.0000 0.0000  -0.06
Sn 0.0000 0.5000 0.0000  -0.06
S 0.8184 0.8184 0.6368  -0.08
S 0.1816 0.1816 0.3632  -0.08

=====

Record 6
Computed, not measured: an optimized crystal structure of USnS4 at the PBE level of DFT.

Results
- Total magnetic moment: 0.1 Bohr magnetons per cell
- Final energy: -6.155 eV/atom
- Formation energy (no corrections): -0.855 eV/atom

Unit cell a=4.0240 b=7.0324 c=7.4682 alpha=61.65 beta=74.38 gamma=90.00
Site moments in Bohr magnetons follow the coordinates.
Fractional positions:
S 0.6086 0.9665 0.7828  -0.01
S 0.1099 0.4045 0.7802  -0.01
S 0.8901 0.5955 0.2198  -0.01
S 0.3914 0.0335 0.2172  -0.01
Sn 0.5000 0.5000 0.0000  0.00
U 0.0000 0.0000 0.0000  0.13

=====

Record 7
Computed, not measured: an optimized crystal structure of USnS at the PBE level of DFT.

Results
- Total magnetic moment: 2.2 Bohr magnetons per cell
- Final energy: -7.037 eV/atom
- Formation energy (no corrections): -0.565 eV/atom

Unit cell a=3.4237 b=3.4237 c=6.4578 alpha=105.37 beta=105.37 gamma=90.00
Site moments in Bohr magnetons follow the coordinates.
Fractional positions:
Sn 0.9980 0.9980 0.9960  -0.04
S 0.3007 0.3007 0.6013  -0.06
U 0.7013 0.7013 0.4027  2.09

=====

Record 8
Computed, not measured: an optimized crystal structure of U3Sn2S8 at the PBE level of DFT.

Results
- Total magnetic moment: 6.0 Bohr magnetons per cell
- Final energy: -6.792 eV/atom
- Formation energy (no corrections): -1.031 eV/atom

Unit cell a=6.8196 b=8.0237 c=8.1807 alpha=119.37 beta=106.04 gamma=90.00
Site moments in Bohr magnetons follow the coordinates.
Fractional positions:
S 0.3997 0.8884 0.2307  -0.05
S 0.6003 0.1116 0.7693  -0.05
S 0.6003 0.6577 0.7693  -0.05
S 0.0900 0.8930 0.7860  -0.06
S 0.9301 0.6080 0.2159  -0.07
S 0.9100 0.1070 0.2140  -0.06
S 0.3997 0.3423 0.2307  -0.05
S 0.0699 0.3920 0.7841  -0.07
Sn 0.3233 0.2445 0.4891  0.00
Sn 0.6767 0.7555 0.5109  0.00
U 0.0000 0.7418 0.0000  1.97
U 0.5000 0.0000 0.0000  2.09
U 0.0000 0.2582 0.0000  1.97

=====

Question: Look up the total magnetic moment of the first one.
Answer: 0.1 Bohr magnetons per cell

=====

Question: Which of these has the lowest final energy?
Answer: number 5

=====

Question: The highest final energy belongs to which entry?
Answer: number 1